Record 1
Material: MnCr2Sb
Method: DFT, PBE-GGA
State: relaxed

Summary:
- Fermi-level density of states (states/eV/f.u.) = 2.38
- uncorrected formation energy (eV/atom) = 0.486

The structure in CIF format:
```
data_MnCr2Sb
_space_group_name_H-M_alt 'R 3 m'
_space_group_IT_number 160
_space_group_name_Hall 'R 3 -2"'
_cell_length_a 3.0402
_cell_length_b 3.0402
_cell_length_c 24.1609
_cell_angle_alpha 90.00
_cell_angle_beta 90.00
_cell_angle_gamma 120.00
loop_
_atom_site_label
_atom_site_type_symbol
_atom_site_fract_x
_atom_site_fract_y
_atom_site_fract_z
Mn1 Mn 0.0000 0.0000 0.0000
Cr1 Cr 0.0000 0.0000 0.2580
Cr2 Cr 0.0000 0.0000 0.5211
Sb1 Sb 0.0000 0.0000 0.7610
```

=====

Record 2
Material: MnCrSb
Method: DFT, PBE-GGA
State: relaxed

Summary:
- energy relative to the lowest polymorph listed for this composition (meV per atom) = 247
- Fermi-level density of states (states/eV/f.u.) = 2.59
- uncorrected formation energy (eV/atom) = 0.345

The structure in CIF format:
```
data_MnCrSb
_space_group_name_H-M_alt 'I 4 m m'
_space_group_IT_number 107
_space_group_name_Hall 'I 4 -2'
_cell_length_a 3.0992
_cell_length_b 3.0992
_cell_length_c 10.6028
_cell_angle_alpha 90.00
_cell_angle_beta 90.00
_cell_angle_gamma 90.00
loop_
_atom_site_label
_atom_site_type_symbol
_atom_site_fract_x
_atom_site_fract_y
_atom_site_fract_z
Mn1 Mn 0.0000 0.0000 0.0000
Cr1 Cr 0.0000 0.0000 0.6196
Sb1 Sb 0.0000 0.0000 0.3105
```

=====

Record 3
Material: MnCrSb3
Method: DFT, PBE-GGA
State: relaxed

Summary:
- energy relative to the lowest polymorph listed for this composition (meV per atom) = 0
- Fermi-level density of states (states/eV/f.u.) = 3.65
- uncorrected formation energy (eV/atom) = 0.647

The structure in CIF format:
```
data_MnCrSb3
_space_group_name_H-M_alt 'P m -3 m'
_space_group_IT_number 221
_space_group_name_Hall '-P 4 2 3'
_cell_length_a 5.0690
_cell_length_b 5.0690
_cell_length_c 5.0690
_cell_angle_alpha 90.00
_cell_angle_beta 90.00
_cell_angle_gamma 90.00
loop_
_atom_site_label
_atom_site_type_symbol
_atom_site_fract_x
_atom_site_fract_y
_atom_site_fract_z
Mn1 Mn 0.0000 0.0000 0.0000
Cr1 Cr 0.5000 0.5000 0.5000
Sb1 Sb 0.0000 0.0000 0.5000
```

=====

Record 4
Material: MnCr2Sb
Method: DFT, PBE-GGA
State: relaxed

Summary:
- Fermi-level density of states (states/eV/f.u.) = 2.79
- uncorrected formation energy (eV/atom) = 0.160

The structure in CIF format:
```
data_MnCr2Sb
_space_group_name_H-M_alt 'I -4 m 2'
_space_group_IT_number 119
_space_group_name_Hall 'I -4 -2'
_cell_length_a 3.9786
_cell_length_b 3.9786
_cell_length_c 7.4598
_cell_angle_alpha 90.00
_cell_angle_beta 90.00
_cell_angle_gamma 90.00
loop_
_atom_site_label
_atom_site_type_symbol
_atom_site_fract_x
_atom_site_fract_y
_atom_site_fract_z
Mn1 Mn 0.0000 0.0000 0.0000
Cr1 Cr 0.0000 0.0000 0.5000
Cr2 Cr 0.0000 0.5000 0.2500
Sb1 Sb 0.0000 0.5000 0.7500
```

=====

Record 5
Material: MnCrSb
Method: DFT, PBE-GGA
State: relaxed

Summary:
- energy relative to the lowest polymorph listed for this composition (meV per atom) = 232
- Fermi-level density of states (states/eV/f.u.) = 2.41
- uncorrected formation energy (eV/atom) = 0.330

The structure in CIF format:
```
data_MnCrSb
_space_group_name_H-M_alt 'P 3 m 1'
_space_group_IT_number 156
_cell_length_a 4.3418
_cell_length_b 4.3418
_cell_length_c 3.1219
_cell_angle_alpha 90.00
_cell_angle_beta 90.00
_cell_angle_gamma 120.00
loop_
_space_group_symop_operation_xyz
'x,y,z'
'-y,x-y,z'
'-x+y,-x,z'
'-y,-x,z'
'-x+y,y,z'
'x,x-y,z'
loop_
_atom_site_label
_atom_site_type_symbol
_atom_site_fract_x
_atom_site_fract_y
_atom_site_fract_z
Mn1 Mn 0.0000 0.0000 0.0000
Cr1 Cr 0.6667 0.3333 0.6780
Sb1 Sb 0.3333 0.6667 0.3097
```

=====

Record 6
Material: MnCr2Sb
Method: DFT, PBE-GGA
State: relaxed

Summary:
- Fermi-level density of states (states/eV/f.u.) = 3.81
- uncorrected formation energy (eV/atom) = 0.288

The structure in CIF format:
```
data_MnCr2Sb
_space_group_name_H-M_alt 'I m m m'
_space_group_IT_number 71
_space_group_name_Hall '-I 2 2'
_cell_length_a 3.1243
_cell_length_b 4.0508
_cell_length_c 8.4686
_cell_angle_alpha 90.00
_cell_angle_beta 90.00
_cell_angle_gamma 90.00
loop_
_atom_site_label
_atom_site_type_symbol
_atom_site_fract_x
_atom_site_fract_y
_atom_site_fract_z
Mn1 Mn 0.0000 0.0000 0.0000
Cr1 Cr 0.0000 0.5000 0.2544
Sb1 Sb 0.0000 0.0000 0.5000
```

=====

Record 7
Material: MnCrSb
Method: DFT, PBE-GGA
State: relaxed

Summary:
- energy relative to the lowest polymorph listed for this composition (meV per atom) = 52
- Fermi-level density of states (states/eV/f.u.) = 3.30
- uncorrected formation energy (eV/atom) = 0.150

The structure in CIF format:
```
data_MnCrSb
_space_group_name_H-M_alt 'P -1'
_space_group_IT_number 2
_cell_length_a 3.9449
_cell_length_b 3.9475
_cell_length_c 7.7377
_cell_angle_alpha 89.26
_cell_angle_beta 89.75
_cell_angle_gamma 60.05
loop_
_space_group_symop_operation_xyz
'x,y,z'
'-x,-y,-z'
loop_
_atom_site_label
_atom_site_type_symbol
_atom_site_fract_x
_atom_site_fract_y
_atom_site_fract_z
Mn1 Mn 0.0007 0.4965 0.1442
Cr1 Cr 0.3337 0.8317 0.0675
Sb1 Sb 0.3315 0.8426 0.6874
```

=====

Record 8
Material: Mn3CrSb
Method: DFT, PBE-GGA
State: relaxed

Summary:
- energy relative to the lowest polymorph listed for this composition (meV per atom) = 0
- Fermi-level density of states (states/eV/f.u.) = 1.99
- uncorrected formation energy (eV/atom) = 0.773

The structure in CIF format:
```
data_Mn3CrSb
_space_group_name_H-M_alt 'P m -3 m'
_space_group_IT_number 221
_space_group_name_Hall '-P 4 2 3'
_cell_length_a 4.4396
_cell_length_b 4.4396
_cell_length_c 4.4396
_cell_angle_alpha 90.00
_cell_angle_beta 90.00
_cell_angle_gamma 90.00
loop_
_atom_site_label
_atom_site_type_symbol
_atom_site_fract_x
_atom_site_fract_y
_atom_site_fract_z
Mn1 Mn 0.0000 0.0000 0.5000
Cr1 Cr 0.0000 0.0000 0.0000
Sb1 Sb 0.5000 0.5000 0.5000
```

=====

Record 9
Material: MnCrSb3
Method: DFT, PBE-GGA
State: relaxed

Summary:
- energy relative to the lowest polymorph listed for this composition (meV per atom) = 50
- Fermi-level density of states (states/eV/f.u.) = 3.58
- uncorrected formation energy (eV/atom) = 0.697

The structure in CIF format:
```
data_MnCrSb3
_space_group_name_H-M_alt 'P m -3 m'
_space_group_IT_number 221
_space_group_name_Hall '-P 4 2 3'
_cell_length_a 5.0733
_cell_length_b 5.0733
_cell_length_c 5.0733
_cell_angle_alpha 90.00
_cell_angle_beta 90.00
_cell_angle_gamma 90.00
loop_
_atom_site_label
_atom_site_type_symbol
_atom_site_fract_x
_atom_site_fract_y
_atom_site_fract_z
Mn1 Mn 0.0000 0.0000 0.0000
Cr1 Cr 0.5000 0.5000 0.5000
Sb1 Sb 0.0000 0.5000 0.5000
```

=====

Record 10
Material: MnCrSb
Method: DFT, PBE-GGA
State: relaxed

Summary:
- energy relative to the lowest polymorph listed for this composition (meV per atom) = 0
- Fermi-level density of states (states/eV/f.u.) = 1.64
- uncorrected formation energy (eV/atom) = 0.099

The structure in CIF format:
```
data_MnCrSb
_space_group_name_H-M_alt 'F -4 3 m'
_space_group_IT_number 216
_space_group_name_Hall 'F -4 2 3'
_cell_length_a 5.9914
_cell_length_b 5.9914
_cell_length_c 5.9914
_cell_angle_alpha 90.00
_cell_angle_beta 90.00
_cell_angle_gamma 90.00
loop_
_atom_site_label
_atom_site_type_symbol
_atom_site_fract_x
_atom_site_fract_y
_atom_site_fract_z
Mn1 Mn 0.0000 0.0000 0.0000
Cr1 Cr 0.2500 0.2500 0.7500
Sb1 Sb 0.2500 0.2500 0.2500
```

=====

Record 11
Material: MnCr2Sb
Method: DFT, PBE-GGA
State: relaxed

Summary:
- Fermi-level density of states (states/eV/f.u.) = 2.84
- uncorrected formation energy (eV/atom) = 0.508

The structure in CIF format:
```
data_MnCr2Sb
_space_group_name_H-M_alt 'R -3 m'
_space_group_IT_number 166
_space_group_name_Hall '-R 3 2"'
_cell_length_a 3.0629
_cell_length_b 3.0629
_cell_length_c 24.2721
_cell_angle_alpha 90.00
_cell_angle_beta 90.00
_cell_angle_gamma 120.00
loop_
_atom_site_label
_atom_site_type_symbol
_atom_site_fract_x
_atom_site_fract_y
_atom_site_fract_z
Mn1 Mn 0.0000 0.0000 0.0000
Cr1 Cr 0.0000 0.0000 0.2598
Sb1 Sb 0.0000 0.0000 0.5000
```

=====

Record 12
Material: MnCr2Sb
Method: DFT, PBE-GGA
State: relaxed

Summary:
- Fermi-level density of states (states/eV/f.u.) = 6.21
- uncorrected formation energy (eV/atom) = 0.812

The structure in CIF format:
```
data_MnCr2Sb
_space_group_name_H-M_alt 'I -4 2 d'
_space_group_IT_number 122
_space_group_name_Hall 'I -4 2bw'
_cell_length_a 3.7917
_cell_length_b 3.7917
_cell_length_c 17.1786
_cell_angle_alpha 90.00
_cell_angle_beta 90.00
_cell_angle_gamma 90.00
loop_
_atom_site_label
_atom_site_type_symbol
_atom_site_fract_x
_atom_site_fract_y
_atom_site_fract_z
Mn1 Mn 0.0000 0.0000 0.0000
Cr1 Cr 0.1743 0.2500 0.1250
Sb1 Sb 0.0000 0.0000 0.5000
```